The following is a PBE calculation of a relaxed structure of CeErInHg, from Alexandria via LeMat-Bulk.

Cell and atoms, written as CIF:
```
data_CeErInHg
_chemical_formula_sum 'Ce4 Er4 In4 Hg4'
_cell_length_a 7.583
_cell_length_b 7.583
_cell_length_c 7.583
_cell_angle_alpha 90.00
_cell_angle_beta 90.00
_cell_angle_gamma 90.00
_symmetry_space_group_name_H-M 'F -4 3 m'
_symmetry_Int_Tables_number 216
_symmetry_space_group_name_Hall 'F -4 2 3'
loop_
_atom_site_label
_atom_site_type_symbol
_atom_site_fract_x
_atom_site_fract_y
_atom_site_fract_z
Ce1 Ce 0.000 0.000 0.000
Er1 Er 0.000 0.000 0.500
In1 In 0.250 0.250 0.250
Hg1 Hg 0.250 0.250 0.750
```

- total DFT energy (no corrections) (eV/atom) = -3.76
- total moment (μB per atom) = 0.329
- formation enthalpy at 0 K (eV/f.u.) = -1.5


The following is a PBE calculation of a relaxed structure of TcIrRh2, from Alexandria via LeMat-Bulk.

Cell and atoms, written as CIF:
```
data_TcIrRh2
_chemical_formula_sum 'Tc3 Ir3 Rh6'
_cell_length_a 2.7302
_cell_length_b 2.7302
_cell_length_c 26.6683
_cell_angle_alpha 90.00
_cell_angle_beta 90.00
_cell_angle_gamma 120.00
_symmetry_space_group_name_H-M 'R -3 m'
_symmetry_Int_Tables_number 166
_symmetry_space_group_name_Hall '-R 3 2"'
loop_
_atom_site_label
_atom_site_type_symbol
_atom_site_fract_x
_atom_site_fract_y
_atom_site_fract_z
Tc1 Tc 0.0000 0.0000 0.0000
Ir1 Ir 0.0000 0.0000 0.5000
Rh1 Rh 0.0000 0.0000 0.2516
```

- total DFT energy (no corrections) (eV/atom) = -8.50
- total moment (μB per atom) = 0.001
- formation enthalpy at 0 K (eV/f.u.) = -0.1


The following is a PBE calculation of a relaxed structure of Rb5Ag3I12, from Alexandria via LeMat-Bulk.

Cell and atoms, written as CIF:
```
data_Rb5Ag3I12
_chemical_formula_sum 'Rb40 Ag24 I96'
_cell_length_a 21.203
_cell_length_b 21.203
_cell_length_c 21.203
_cell_angle_alpha 90.00
_cell_angle_beta 90.00
_cell_angle_gamma 90.00
_symmetry_space_group_name_H-M 'I a -3 d'
_symmetry_Int_Tables_number 230
_symmetry_space_group_name_Hall '-I 4bd 2c 3'
loop_
_atom_site_label
_atom_site_type_symbol
_atom_site_fract_x
_atom_site_fract_y
_atom_site_fract_z
Rb1 Rb 0.000 0.000 0.000
Rb2 Rb 0.000 0.250 0.375
Ag1 Ag 0.000 0.250 0.125
I1 I 0.026 0.030 0.167
```

- total DFT energy (no corrections) (eV/atom) = -2.22
- total moment (μB per atom) = 0.002
- formation energy (no corrections) (eV/atom) = -0.6209


The following is a PBE calculation of a relaxed structure of KCuPtSe2, from Alexandria via LeMat-Bulk.

Cell and atoms, written as CIF:
```
data_KCuPtSe2
_chemical_formula_sum 'K1 Cu1 Pt1 Se2'
_cell_length_a 3.851
_cell_length_b 4.146
_cell_length_c 7.117
_cell_angle_alpha 90.00
_cell_angle_beta 90.00
_cell_angle_gamma 90.00
_symmetry_space_group_name_H-M 'P m m m'
_symmetry_Int_Tables_number 47
loop_
_symmetry_equiv_pos_as_xyz
'x,y,z'
'-x,-y,-z'
'-x,-y,z'
'x,y,-z'
'x,-y,-z'
'-x,y,z'
'-x,y,-z'
'x,-y,z'
loop_
_atom_site_label
_atom_site_type_symbol
_atom_site_fract_x
_atom_site_fract_y
_atom_site_fract_z
K1 K 0.000 0.000 0.000
Cu1 Cu 0.500 0.000 0.500
Pt1 Pt 0.000 0.500 0.500
Se1 Se 0.500 0.500 0.271
```

- total DFT energy (no corrections) (eV/atom) = -4.16
- total moment (μB per atom) = 0.000
- formation energy (no corrections) (eV/atom) = -0.5183


The following is a PBE calculation of a relaxed structure of AgHg2Pt, from Alexandria via LeMat-Bulk.

Cell and atoms, written as CIF:
```
data_AgHg2Pt
_chemical_formula_sum 'Ag1 Hg2 Pt1'
_cell_length_a 3.959
_cell_length_b 4.352
_cell_length_c 4.399
_cell_angle_alpha 90.00
_cell_angle_beta 90.00
_cell_angle_gamma 90.00
_symmetry_space_group_name_H-M 'P m m m'
_symmetry_Int_Tables_number 47
loop_
_symmetry_equiv_pos_as_xyz
'x,y,z'
'-x,-y,-z'
'-x,-y,z'
'x,y,-z'
'x,-y,-z'
'-x,y,z'
'-x,y,-z'
'x,-y,z'
loop_
_atom_site_label
_atom_site_type_symbol
_atom_site_fract_x
_atom_site_fract_y
_atom_site_fract_z
Ag1 Ag 0.000 0.000 0.000
Hg1 Hg 0.500 0.000 0.500
Hg2 Hg 0.500 0.500 0.000
Pt1 Pt 0.000 0.500 0.500
```

- total DFT energy (no corrections) (eV/atom) = -2.30
- total moment (μB per atom) = 0.000
- formation enthalpy at 0 K (eV/f.u.) = 0.3


The following is a PBE calculation of a relaxed structure of Sm2Ga3CoNi12, from Alexandria via LeMat-Bulk.

Cell and atoms, written as CIF:
```
data_Sm2Ga3CoNi12
_chemical_formula_sum 'Sm6 Ga9 Co3 Ni36'
_cell_length_a 6.0811
_cell_length_b 6.0811
_cell_length_c 25.2123
_cell_angle_alpha 90.00
_cell_angle_beta 90.00
_cell_angle_gamma 120.00
_symmetry_space_group_name_H-M 'R -3 m'
_symmetry_Int_Tables_number 166
_symmetry_space_group_name_Hall '-R 3 2"'
loop_
_atom_site_label
_atom_site_type_symbol
_atom_site_fract_x
_atom_site_fract_y
_atom_site_fract_z
Sm1 Sm 0.0000 0.0000 0.1535
Ga1 Ga 0.0000 0.5000 0.0000
Co1 Co 0.0000 0.0000 0.5000
Ni1 Ni 0.0539 0.5269 0.0972
Ni2 Ni 0.0713 0.5357 0.6168
```

- total DFT energy (no corrections) (eV/atom) = -5.25
- total moment (μB per atom) = 0.180
- formation enthalpy at 0 K (eV/f.u.) = 0.6


The following is a PBE calculation of a relaxed structure of La3PrHo2S6, from Alexandria via LeMat-Bulk.

Cell and atoms, written as CIF:
```
data_La3PrHo2S6
_chemical_formula_sum 'La6 Pr2 Ho4 S12'
_cell_length_a 7.001
_cell_length_b 12.150
_cell_length_c 7.061
_cell_angle_alpha 90.00
_cell_angle_beta 109.40
_cell_angle_gamma 90.00
_symmetry_space_group_name_H-M 'C 1 2/m 1'
_symmetry_Int_Tables_number 12
loop_
_symmetry_equiv_pos_as_xyz
'x,y,z'
'-x,-y,-z'
'-x,y,-z'
'x,-y,z'
'x+1/2,y+1/2,z'
'-x+1/2,-y+1/2,-z'
'-x+1/2,y+1/2,-z'
'x+1/2,-y+1/2,z'
loop_
_atom_site_label
_atom_site_type_symbol
_atom_site_fract_x
_atom_site_fract_y
_atom_site_fract_z
La1 La 0.000 0.000 0.000
La2 La 0.000 0.338 0.000
Pr1 Pr 0.000 0.500 0.500
Ho1 Ho 0.000 0.167 0.500
S1 S 0.232 0.000 0.731
S2 S 0.249 0.173 0.265
```

- total DFT energy (no corrections) (eV/atom) = -6.54
- total moment (μB per atom) = 0.000
- formation energy (no corrections) (eV/atom) = -2.0829


The following is a PBE calculation of a relaxed structure of TbPa2Si2Pt7, from Alexandria via LeMat-Bulk.

Cell and atoms, written as CIF:
```
data_TbPa2Si2Pt7
_chemical_formula_sum 'Tb2 Pa4 Si4 Pt14'
_cell_length_a 5.899
_cell_length_b 5.645
_cell_length_c 13.530
_cell_angle_alpha 90.00
_cell_angle_beta 97.75
_cell_angle_gamma 90.00
_symmetry_space_group_name_H-M 'C 1 2/m 1'
_symmetry_Int_Tables_number 12
loop_
_symmetry_equiv_pos_as_xyz
'x,y,z'
'-x,-y,-z'
'-x,y,-z'
'x,-y,z'
'x+1/2,y+1/2,z'
'-x+1/2,-y+1/2,-z'
'-x+1/2,y+1/2,-z'
'x+1/2,-y+1/2,z'
loop_
_atom_site_label
_atom_site_type_symbol
_atom_site_fract_x
_atom_site_fract_y
_atom_site_fract_z
Tb1 Tb 0.000 0.000 0.000
Pa1 Pa 0.107 0.000 0.359
Si1 Si 0.079 0.500 0.257
Pt1 Pt 0.000 0.500 0.000
Pt2 Pt 0.153 0.500 0.434
Pt3 Pt 0.199 0.250 0.836
```

- total DFT energy (no corrections) (eV/atom) = -7.37
- total moment (μB per atom) = 0.000
- formation energy (no corrections) (eV/atom) = -0.9759


The following is a PBE calculation of a relaxed structure of CdIn5Hg7, from Alexandria via LeMat-Bulk.

Cell and atoms, written as CIF:
```
data_CdIn5Hg7
_chemical_formula_sum 'Cd2 In10 Hg14'
_cell_length_a 7.421
_cell_length_b 10.004
_cell_length_c 9.853
_cell_angle_alpha 90.00
_cell_angle_beta 90.00
_cell_angle_gamma 90.00
_symmetry_space_group_name_H-M 'I m m 2'
_symmetry_Int_Tables_number 44
loop_
_symmetry_equiv_pos_as_xyz
'x,y,z'
'-x,-y,z'
'-x,y,z'
'x,-y,z'
'x+1/2,y+1/2,z+1/2'
'-x+1/2,-y+1/2,z+1/2'
'-x+1/2,y+1/2,z+1/2'
'x+1/2,-y+1/2,z+1/2'
loop_
_atom_site_label
_atom_site_type_symbol
_atom_site_fract_x
_atom_site_fract_y
_atom_site_fract_z
Cd1 Cd 0.000 0.000 0.000
In1 In 0.000 0.500 0.027
In2 In 0.243 0.255 0.575
Hg1 Hg 0.000 0.000 0.306
Hg2 Hg 0.000 0.000 0.618
Hg3 Hg 0.000 0.252 0.829
Hg4 Hg 0.000 0.335 0.320
Hg5 Hg 0.000 0.500 0.630
```

- total DFT energy (no corrections) (eV/atom) = -1.23
- total moment (μB per atom) = 0.000
- formation enthalpy at 0 K (eV/f.u.) = 0.7